A geometry-optimized Rb6H4S structure, computed with PBE-GGA.

Cell lengths 4.4560, 7.4029, 21.3939 Å; angles 90.00, 90.00, 107.52 degrees
Last column: nearest neighbours and their distance in Å.
Fractional coordinates of all 22 atoms:
Rb  0.5000  0.0000  0.0000  6 H 2.97-3.08
Rb  0.5000  0.0000  0.5000  6 H 2.97-3.08
Rb  0.0527  0.1054  0.3386  3 H 2.87-3.14
Rb  0.9473  0.8946  0.6614  3 H 2.87-3.14
Rb  0.9473  0.8946  0.8386  3 H 2.87-3.14
Rb  0.0527  0.1054  0.1614  3 H 2.87-3.14
Rb  0.7716  0.5431  0.4133  5 H 2.99-3.08
Rb  0.2284  0.4569  0.5867  5 H 2.99-3.08
Rb  0.2284  0.4569  0.9133  5 H 2.99-3.08
Rb  0.7716  0.5431  0.0867  5 H 2.99-3.08
Rb  0.3234  0.6469  0.2500  2 H 2.94, 2 S 3.18
Rb  0.6766  0.3531  0.7500  2 H 2.94, 2 S 3.18
H  0.8616  0.7233  0.5397  6 Rb 2.87-3.08
H  0.4065  0.8130  0.1241  6 Rb 2.94-3.14
H  0.1384  0.2767  0.4603  6 Rb 2.87-3.08
H  0.5935  0.1870  0.8759  6 Rb 2.94-3.14
H  0.8616  0.7233  0.9603  6 Rb 2.87-3.08
H  0.1384  0.2767  0.0397  6 Rb 2.87-3.08
H  0.5935  0.1870  0.6241  6 Rb 2.94-3.14
H  0.4065  0.8130  0.3759  6 Rb 2.94-3.14
S  0.6627  0.3254  0.2500  6 Rb 3.18-3.31
S  0.3373  0.6746  0.7500  6 Rb 3.18-3.31

---

A geometry-optimized RbHS2 structure, computed with PBE-GGA.

Calculated values
- Relative energy among the computed polymorphs: 241 meV per atom

Cell lengths 8.2929, 8.2929, 8.2929 Å; angles 27.75, 27.75, 27.75 degrees
Last column: nearest neighbours and their distance in Å.
Fractional coordinates of all 4 atoms:
H  0.0000  0.0000  0.0000  2 S 1.63
S  0.9317  0.9317  0.9317  1 H 1.63
S  0.0683  0.0683  0.0683  1 H 1.63
Rb  0.5000  0.5000  0.5000  6 S 3.29

---

A geometry-optimized RbSbH2S structure, computed with PBE-GGA.

Cell lengths 4.4569, 5.2684, 4.4569 Å; angles 90.00, 90.00, 90.00 degrees
Last column: nearest neighbours and their distance in Å.
Fractional coordinates of all 5 atoms:
Sb  0.0000  0.0000  0.0000  4 H 2.23
S  0.0000  0.5000  0.0000  2 Sb 2.63
Rb  0.5000  0.5000  0.5000  4 S 3.15, 8 H 3.45
H  0.0000  0.0000  0.5000  2 Sb 2.23
H  0.5000  0.0000  0.0000  2 Sb 2.23

---

A geometry-optimized Rb2H2Se2S structure, computed with PBE-GGA.

Cell lengths 4.3931, 6.8099, 6.7998 Å; angles 95.50, 71.15, 71.18 degrees
Last column: nearest neighbours and their distance in Å.
Fractional coordinates of all 7 atoms:
Rb  0.5003  0.2509  0.7484  2 S 3.35, 4 Se 3.54, 6 H 3.56-3.67
Rb  0.4997  0.7491  0.2516  2 S 3.35, 4 Se 3.54, 6 H 3.56-3.67
H  0.1855  0.8141  0.8149  1 S 1.49
H  0.8145  0.1859  0.1851  1 S 1.49
Se  0.1503  0.3499  0.3495  1 Se 2.41, 2 H 2.56
Se  0.8497  0.6501  0.6505  1 Se 2.41, 2 H 2.56
S  0.0000  0.0000  0.0000  2 H 1.49

---

A geometry-optimized Rb4H2Se2S structure, computed with PBE-GGA.

Cell lengths 8.6811, 6.1157, 6.1157 Å; angles 90.00, 69.37, 69.37 degrees
Last column: nearest neighbours and their distance in Å.
Fractional coordinates of all 9 atoms:
Rb  0.2470  0.6266  0.1264  2 H 3.11, 2 Se 3.45
Rb  0.7530  0.8736  0.3734  2 H 3.11, 2 Se 3.45
Rb  0.7530  0.3734  0.8736  2 H 3.11, 2 Se 3.45
Rb  0.2470  0.1264  0.6266  2 H 3.11, 2 Se 3.45
H  0.1691  0.1655  0.1655  1 Se 1.53
H  0.8309  0.8345  0.8345  1 Se 1.53
Se  0.0337  0.7331  0.7331  1 H 1.53
Se  0.9663  0.2669  0.2669  1 H 1.53
S  0.5000  0.0000  0.0000  2 H 2.49

---

A geometry-optimized Rb2TaHS4 structure, computed with PBE-GGA.

Cell lengths 8.6559, 9.0150, 9.0424 Å; angles 118.51, 117.87, 93.47 degrees
Last column: nearest neighbours and their distance in Å.
Fractional coordinates of all 16 atoms:
Rb  0.3550  0.8348  0.8231  6 S 3.28-3.64
Rb  0.5456  0.0409  0.5381  6 S 3.27-3.54
Rb  0.9417  0.0516  0.3584  4 S 3.19-3.45
Rb  0.5956  0.4596  0.1264  5 S 3.37-3.63
Ta  0.4587  0.4591  0.4997  3 S 2.25-2.40
Ta  0.9612  0.9604  0.9097  5 S 2.27-2.53
H  0.0473  0.6690  0.0094  1 S 1.36
H  0.8630  0.4659  0.6259  1 S 1.36
S  0.1652  0.8262  0.0768  1 H 1.36
S  0.6989  0.3352  0.4489  1 H 1.36
S  0.3189  0.6218  0.3900  1 Ta 2.25
S  0.8135  0.1498  0.0045  1 Ta 2.27
S  0.7255  0.7058  0.8295  2 Ta 2.40-2.53, 1 H 2.63
S  0.8961  0.8680  0.5986  1 Ta 2.27
S  0.3363  0.3713  0.6323  1 Ta 2.28
S  0.2775  0.1805  0.1285  2 Ta 2.42-2.57

---

no.,final energy (eV/atom)
1,-2.496
2,-2.939
3,-3.302
4,-3.181
5,-3.162
6,-5.148